First-principles (PBE+U) data for PmTl2MoO8 after structural relaxation, as listed in Alexandria via LeMat-Bulk.

extended XYZ file:
```
12
Lattice="5.102 -0.053 -0.003 -0.026 5.099 -0.006 0.004 0.008 6.854" Properties=species:S:1:pos:R:3 pbc="T T T"
Pm 0.002 0.004 3.427
Tl 2.541 2.529 5.187
Tl 2.539 2.525 1.658
Mo 0.000 0.000 0.000
O 0.889 4.173 1.413
O 3.645 3.634 -0.006
O 4.188 0.877 1.415
O 4.191 0.882 5.432
O 1.431 1.413 -0.002
O 0.892 4.177 5.431
O 3.482 3.481 3.421
O 1.598 1.573 3.424
```

Computed properties:
Space-group type: P2/m
Total DFT energy (no corrections): -72.9 eV for the cell shown